Entry 1:
DFT (GGA-PBE) results for a relaxed structure of Pr5TmAl3.

a b c (Å): 6.854 9.342 9.345
angles (deg): 119.99 90.00 90.00
Fractional coordinates of all 18 atoms:
Al 0.750 0.000 0.675
Pr 0.000 0.333 0.666
Al 0.250 0.325 0.000
Pr 0.750 0.665 0.665
Pr 0.750 0.000 0.335
Tm 0.500 0.000 0.000
Al 0.250 0.000 0.325
Pr 0.250 0.665 0.000
Al 0.750 0.325 0.325
Pr 0.000 0.667 0.334
Pr 0.250 0.000 0.665
Pr 0.250 0.335 0.335
Pr 0.500 0.333 0.666
Al 0.250 0.675 0.675
Pr 0.500 0.667 0.334
Pr 0.750 0.335 0.000
Tm 0.000 0.000 0.000
Al 0.750 0.675 0.000

## Properties
ΔE_f = -0.224 eV per atom


Entry 2:
DFT (GGA-PBE) results for a relaxed structure of Cs3La2ThSe6.

a b c (Å): 7.684 7.684 8.793
angles (deg): 98.38 98.38 119.99
Fractional coordinates of all 12 atoms:
La 0.666 0.334 0.000
La 0.334 0.666 0.000
Se 0.613 0.936 0.808
Se 0.259 0.259 0.807
Se 0.064 0.387 0.192
Cs 0.169 0.831 0.500
Se 0.387 0.064 0.192
Th 0.000 0.000 0.000
Se 0.741 0.741 0.193
Se 0.936 0.613 0.808
Cs 0.500 0.500 0.500
Cs 0.831 0.169 0.500


Entry 3:
DFT (GGA-PBE) results for a relaxed structure of AlRh2F.

a b c (Å): 6.900 6.900 5.467
angles (deg): 50.87 50.87 90.00
Fractional coordinates of all 8 atoms:
Rh 0.112 0.625 0.250
F 0.500 0.500 0.000
Al 0.000 0.000 0.000
Rh 0.375 0.362 0.750
Al 0.750 0.250 0.500
Rh 0.875 0.888 0.750
Rh 0.638 0.125 0.250
F 0.250 0.750 0.500

## Properties
Excess energy over the best structure of this formula in the dataset = 0.116 eV/atom


| no. | raw total energy (eV per atom) |
| --- | --- |
| 1 | -4.623 |
| 2 | -5.111 |
| 3 | -5.354 |